Entry from Alexandria via LeMat-Bulk: a relaxed structure of GaReNi6 (PBE).

Calculated values
Volume: 11.7 A^3/atom
Space group: No. 123
Total magnetization: 0.00 μB/atom
ΔH_f (0 K): -122 meV per atom
Raw total energy: -6.3923 eV per atom

```
8
Lattice="-1.0790 3.4269 -0.1275 -0.4595 -0.2769 -3.5547 -6.8217 -2.1090 1.0461" Properties=species:S:1:pos:R:3 pbc="T T T"
Ga 0.0000 0.0000 0.0000
Re -3.4109 -1.0545 0.5231
Ni -0.7693 1.5750 -1.8411
Ni -4.1801 0.5205 -1.3180
Ni -2.2668 1.1794 0.2011
Ni -5.6339 0.1385 0.7175
Ni -1.9571 -0.6725 -1.5125
Ni -5.3242 -1.7134 -0.9961
```